Entry 1:
Compound: CoAsRh
Source: Alexandria via LeMat-Bulk
Functional: PBE
Structure: optimized geometry

Output
As for the symmetry: Imm2. As for the energy of formation: 12 meV per atom. The total energy is -6.36 eV per atom.

The structure in POSCAR format:
```
CoAsRh
1.0
2.9312 0.0000 0.0000
0.0000 3.7726 0.0000
0.0000 0.0000 7.4864
Co As Rh
2 2 2
direct
0.0000 0.0000 0.0000 Co
0.5000 0.5000 0.5000 Co
0.0000 0.0000 0.3214 As
0.5000 0.5000 0.8214 As
0.0000 0.0000 0.6536 Rh
0.5000 0.5000 0.1536 Rh
```

=====

Entry 2:
Compound: Co3AsRh
Source: Alexandria via LeMat-Bulk
Functional: PBE
Structure: optimized geometry

Output
As for the symmetry: Pm-3m. As for the energy of formation: 849 meV per atom. The total energy is -5.82 eV per atom.

The structure in POSCAR format:
```
Co3AsRh
1.0
4.2725 0.0000 0.0000
0.0000 4.2725 0.0000
0.0000 0.0000 4.2725
Co As Rh
3 1 1
direct
0.0000 0.0000 0.5000 Co
0.0000 0.5000 0.0000 Co
0.5000 0.0000 0.0000 Co
0.0000 0.0000 0.0000 As
0.5000 0.5000 0.5000 Rh
```

=====

Entry 3:
Compound: CoAs3Rh
Source: Alexandria via LeMat-Bulk
Functional: PBE
Structure: optimized geometry

Output
As for the symmetry: Pm-3m. As for the energy of formation: 482 meV per atom. The total energy is -5.20 eV per atom.

The structure in POSCAR format:
```
CoAs3Rh
1.0
4.4813 0.0000 0.0000
0.0000 4.4813 0.0000
0.0000 0.0000 4.4813
Co As Rh
1 3 1
direct
0.0000 0.0000 0.0000 Co
0.0000 0.0000 0.5000 As
0.0000 0.5000 0.0000 As
0.5000 0.0000 0.0000 As
0.5000 0.5000 0.5000 Rh
```

=====

Entry 4:
Compound: CoAsRh2
Source: Alexandria via LeMat-Bulk
Functional: PBE
Structure: optimized geometry

Output
As for the symmetry: Cmmm. As for the energy of formation: -29 meV per atom. The total energy is -6.64 eV per atom.

The structure in POSCAR format:
```
CoAsRh2
1.0
5.5198 0.0000 0.0000
0.0000 6.9425 0.0000
0.0000 0.0000 2.8653
Co As Rh
2 2 4
direct
0.0000 0.0000 0.0000 Co
0.5000 0.5000 0.0000 Co
0.0000 0.5000 0.0000 As
0.5000 0.0000 0.0000 As
0.2500 0.2500 0.5000 Rh
0.2500 0.7500 0.5000 Rh
0.7500 0.2500 0.5000 Rh
0.7500 0.7500 0.5000 Rh
```